(1)
DFT (PBE-GGA) results for an optimized crystal structure of Y2CoAu.

abc: 7.498 7.498 6.219
angles: 52.92 52.92 90.00
Last column: magnetic moment on the atom in μB.
Element x y z (fractional)
Au 0.000 0.000 0.000  0.02
Au 0.750 0.250 0.500  0.02
Y 0.375 0.410 0.750  -0.01
Y 0.160 0.625 0.250  -0.02
Y 0.590 0.125 0.250  -0.01
Y 0.875 0.840 0.750  -0.01
Co 0.500 0.500 0.000  0.32
Co 0.250 0.750 0.500  0.32

Properties
E_tot in eV per atom: -5.90
DOS at the Fermi energy in states/eV/atom: 0.82
Formation energy in eV/atom: -0.076

***

(2)
DFT (PBE-GGA) results for an optimized crystal structure of Ir2Ru2Rh5.

abc: 2.694 8.986 6.378
angles: 66.52 90.00 98.62
Element x y z (fractional)
Rh 0.073 0.146 0.567
Rh 0.212 0.424 0.199
Rh 0.927 0.854 0.433
Rh 0.788 0.576 0.801
Rh 0.000 0.000 0.000
Ir 0.160 0.320 0.821
Ir 0.840 0.680 0.179
Ru 0.424 0.849 0.789
Ru 0.576 0.151 0.211

Properties
E_tot in eV per atom: -7.78
DOS at the Fermi energy in states/eV/atom: 1.04
Formation energy in eV/atom: 0.338
Excess energy over the best structure of this formula in the dataset in kcal/mol of atoms: 8.146

***

(3)
DFT (PBE-GGA) results for an optimized crystal structure of MnSeSN2.

abc: 3.485 3.485 7.144
angles: 90.00 90.00 90.00
Last column: magnetic moment on the atom in μB.
Element x y z (fractional)
N 0.000 0.500 0.000  0.24
N 0.500 0.000 0.000  0.24
S 0.000 0.000 0.000  0.02
Mn 0.500 0.500 0.500  4.04
Se 0.000 0.000 0.500  0.08

Properties
E_tot in eV per atom: -5.45
ΔE_f (raw) in eV per atom: 1.2345
DOS at the Fermi energy in states/eV/atom: 0.50
Excess energy over the best structure of this formula in the dataset in kcal/mol of atoms: 11.844

***

> Which of these has the lowest E_tot?

Ir2Ru2Rh5

***

> What is the formula in the first record?

Y2CoAu

***

> Number 3 is which compound?

MnSeSN2

***

> Look up the DOS at the Fermi energy of the third one.

0.50 states/eV/atom